1.
PBE Cr2CuCl, optimized geometry; density = 5.3 g cm⁻³; relative energy among the computed polymorphs = 0.00 eV per formula unit
1.0
3.027 0.000 0.000
0.000 3.110 -0.288
0.000 0.655 6.660
Cr Cl Cu
2 1 1
Cartesian
0.000 2.368 0.139
1.513 0.928 1.492
1.513 2.840 4.814
0.000 2.622 2.825

2.
PBE CrCuCl2, optimized geometry; density = 3.8 g cm⁻³; relative energy among the computed polymorphs = 0.71 eV per formula unit
1.0
-0.650 2.394 -2.432
-2.434 1.410 2.039
4.648 4.053 2.746
Cl Cu Cr
2 1 1
Cartesian
4.113 3.587 2.430
0.117 3.349 0.784
1.840 4.851 1.801
2.466 2.150 1.457

3.
PBE CrCuCl2, optimized geometry; density = 4.1 g cm⁻³; relative energy among the computed polymorphs = 0.94 eV per formula unit
1.0
-1.981 -6.003 0.456
-0.676 -4.967 3.879
-4.158 -3.902 2.766
Cu Cl Cr
1 2 1
Cartesian
-5.112 -11.154 5.326
-0.023 -0.049 0.024
-3.385 -7.387 3.527
-1.704 -3.718 1.775

4.
PBE Cr2CuCl, optimized geometry; density = 6.8 g cm⁻³; relative energy among the computed polymorphs = 3.01 eV per formula unit
1.0
0.000 2.914 2.914
2.914 0.000 2.914
2.914 2.914 0.000
Cr Cu Cl
2 1 1
Cartesian
1.457 1.457 1.457
4.371 4.371 4.371
2.914 2.914 2.914
0.000 0.000 0.000

Look up the density of the third one. 4.1 g cm⁻³